A relaxed structure of Ba2SrTl. Source: Alexandria, functional GGA-PBE.

The value obtained for the energy is -2.01 eV/atom. For the magnetization, the calculation gives 0.0 μB/cell. Its formation energy from the elements is -36 meV per atom. The value obtained for the relative energy among the computed polymorphs is 185 meV per atom.

The space group is I-42d (No. 122) and the conventional cell measures 10.520, 10.520 and 7.518 Å, with angles of 90.00, 90.00 and 90.00 degrees. Symmetry generates all atoms from Ba at (0.189, 0.250, 0.125), Sr at (0.000, 0.000, 0.500) and Tl at (0.000, 0.000, 0.000).